P | Material: TcC2
Method: DFT, PBE
State: optimized geometry

Output
V	28.5	Å³/f.u.

```
TcC2
1.0
5.2235 -0.0001 -0.0001
4.5954 2.4835 -0.0001
4.5954 1.1622 2.1947
C Tc
2 1
Cartesian
2.2924 0.5798 0.3490
12.1219 3.0658 1.8456
0.0000 0.0000 0.0000
```

---

Q | Material: TcC2
Method: DFT, PBE
State: optimized geometry

Output
V	35.1	Å³/f.u.

```
TcC2
1.0
2.9626 0.0000 0.0000
0.0000 2.9626 0.0000
0.0000 0.0000 3.9938
Tc C
1 2
Cartesian
0.0000 0.0000 0.0000
1.4813 1.4813 0.0000
0.0000 0.0000 1.9969
```

---

R | Material: TcC2
Method: DFT, PBE
State: optimized geometry

Output
V	25.9	Å³/f.u.

```
TcC2
1.0
2.8261 0.0000 0.0000
0.0000 2.8261 0.0000
0.0000 0.0000 6.4839
C Tc
4 2
Cartesian
0.0000 1.4130 3.8790
0.0000 0.0000 0.0000
1.4130 1.4130 0.0000
1.4130 0.0000 2.6049
1.4130 0.0000 4.7714
0.0000 1.4130 1.7125
```

---

S | Material: TcC2
Method: DFT, PBE
State: optimized geometry

Output
V	28.5	Å³/f.u.

```
TcC2
1.0
3.4379 0.5076 -0.0943
-0.8835 3.2936 0.6762
-0.2702 -2.9100 1.8826
C Tc
2 1
Cartesian
1.9611 -0.6398 0.9801
0.3231 1.5309 1.4844
0.0000 0.0000 0.0000
```

---

Most favorable structure: P. The second most favorable one is 201 meV per atom above it.

---

P | Material: TcC2
Method: DFT, PBE
State: optimized geometry

Output
V	27.5	Å³/f.u.

```
TcC2
1.0
3.3636 0.2722 6.0621
-3.5078 2.6535 -5.3658
-2.3214 -0.4256 1.3072
C Tc
4 2
Cartesian
-0.5041 1.3051 0.9217
-1.9615 1.1951 1.0819
-2.3517 1.9453 -2.1510
-0.1140 0.5548 4.1545
-4.2936 2.0033 -2.7965
1.8279 0.4969 4.8001
```

---

Q | Material: TcC2
Method: DFT, PBE
State: optimized geometry

Output
V	28.6	Å³/f.u.

```
TcC2
1.0
-2.1811 -3.0307 -1.0238
0.5693 -3.8058 -0.4272
-1.4353 -1.1174 5.1644
C Tc
4 2
Cartesian
-1.1435 -3.1886 1.1288
-2.9386 -7.5647 3.7190
-1.4272 -4.5145 0.7141
-1.8800 -5.2089 1.8993
-2.4292 -7.2049 1.8384
-0.4267 -1.6907 -0.2291
```

---

R | Material: TcC2
Method: DFT, PBE
State: optimized geometry

Output
V	47.8	Å³/f.u.

```
TcC2
1.0
2.4992 0.0000 0.0000
-1.2496 2.1644 0.0000
0.0000 0.0000 8.8413
C Tc
2 1
Cartesian
0.0000 1.4429 7.3678
0.0000 0.0000 7.3678
1.2496 0.7215 2.9471
```

---

Most favorable structure: R. The second most favorable one is 129 meV per atom above it.

---

P | Material: TcC2
Method: DFT, PBE
State: optimized geometry

Output
V	26.9	Å³/f.u.

```
TcC2
1.0
-1.3163 1.3424 7.6140
1.3163 -1.3424 7.6140
1.3163 1.3424 -7.6140
C Tc
4 2
Cartesian
1.3163 0.6712 -3.3643
0.0000 0.6712 7.2392
0.0000 0.6712 10.9783
1.3163 0.6712 0.3748
0.0000 0.6712 2.0697
1.3163 0.6712 5.5443
```

---

Q | Material: TcC2
Method: DFT, PBE
State: optimized geometry

Output
V	26.0	Å³/f.u.

```
TcC2
1.0
-12.2915 -5.1058 4.9823
-12.8504 -5.9343 1.2745
13.3898 3.8029 -2.8681
Tc C
4 8
Cartesian
-7.5198 -4.4862 1.1417
-1.5040 -0.6604 0.3743
-4.5118 -3.1653 0.3931
-23.6380 -10.3797 5.8825
-12.0068 -6.1649 4.1818
-9.7721 -4.2910 2.4319
-2.9375 -2.1824 1.9248
-15.3698 -6.7491 3.8249
-6.3005 -2.7666 1.5679
-8.5352 -4.6405 3.3178
0.5341 -0.6580 1.0609
-18.8414 -8.2735 4.6888
```

---

R | Material: TcC2
Method: DFT, PBE
State: optimized geometry

Output
V	26.4	Å³/f.u.

```
TcC2
1.0
2.7055 0.0000 0.0000
0.0000 5.7334 0.0000
0.0000 0.0000 6.8192
C Tc
8 4
Cartesian
2.0292 5.3408 0.8050
0.6764 3.2593 4.2146
0.6764 3.0934 0.2642
0.6764 0.3926 6.0142
2.0292 2.4741 2.6046
2.0292 2.6400 6.5550
0.6764 0.2267 3.1454
2.0292 5.5067 3.6738
0.6764 1.1635 1.2524
2.0292 1.7032 4.6620
0.6764 4.0302 2.1572
2.0292 4.5699 5.5667
```

---

Most favorable structure: R. The second most favorable one is 12 meV per atom above it.

---

P | Material: TcC2
Method: DFT, PBE
State: optimized geometry

Output
V	27.1	Å³/f.u.

```
TcC2
1.0
1.3329 5.3896 -0.0049
-1.3329 5.3896 -0.0049
0.0000 0.2858 3.7747
C Tc
4 2
Cartesian
0.0000 8.4280 2.1786
0.0000 2.6370 1.5864
0.0000 5.5723 1.1643
0.0000 5.4927 2.6007
0.0000 1.5402 3.6955
0.0000 9.5249 0.0695
```

---

Q | Material: TcC2
Method: DFT, PBE
State: optimized geometry

Output
V	28.8	Å³/f.u.

```
TcC2
1.0
3.4131 0.0000 0.0000
-1.7066 2.9559 0.0000
0.0000 0.0000 11.4348
C Tc
8 4
Cartesian
0.0000 0.0000 0.0000
0.9689 2.5300 8.5761
0.0000 0.0000 5.7174
2.6755 0.4259 2.8587
-0.9689 2.5300 8.5761
1.7066 2.1041 2.8587
0.7376 0.4259 2.8587
0.0000 0.8517 8.5761
1.7066 0.9853 1.0647
1.7066 0.9853 4.6527
0.0000 1.9706 10.3701
0.0000 1.9706 6.7820
```

---

R | Material: TcC2
Method: DFT, PBE
State: optimized geometry

Output
V	26.9	Å³/f.u.

```
TcC2
1.0
2.8375 -4.9147 0.0000
2.8375 4.9147 0.0000
0.0000 0.0000 2.8980
Tc C
3 6
Cartesian
2.8375 -1.6382 0.0000
0.0000 0.0000 1.4490
2.8375 1.6382 0.0000
1.7496 -3.0304 1.4490
0.7710 -1.3354 0.0000
4.1330 0.0000 0.0000
2.1758 0.0000 1.4490
1.7496 3.0304 1.4490
0.7710 1.3354 0.0000
```

---

Most favorable structure: P. The second most favorable one is 610 meV per atom above it.

---

P | Material: TcC2
Method: DFT, PBE
State: optimized geometry

Output
V	27.8	Å³/f.u.

```
TcC2
1.0
-0.9807 -3.2171 -1.3207
2.9052 -1.1121 -1.8381
-0.4976 1.0207 3.4302
Tc C
1 2
Cartesian
0.0000 0.0000 0.0000
1.1925 -2.6824 -1.9573
0.7321 -1.6468 -1.2016
```

---

Q | Material: TcC2
Method: DFT, PBE
State: optimized geometry

Output
V	27.2	Å³/f.u.

```
TcC2
1.0
1.2920 -7.7490 0.0000
1.2920 7.7490 0.0000
0.0000 0.0000 2.7192
Tc C
2 4
Cartesian
1.2920 1.7798 0.0000
1.2920 -1.7798 0.0000
0.0000 0.0000 0.0000
1.2920 3.5074 1.3596
1.2920 0.0000 1.3596
1.2920 -3.5074 1.3596
```

---

Most favorable structure: P. The second most favorable one is 38 meV per atom above it.

---

P | Material: Tc3C
Method: DFT, PBE
State: optimized geometry

Output
V	51.4	Å³/f.u.

```
Tc3C
1.0
-3.4368 -2.4018 -0.4831
2.4497 -3.3581 -0.7317
0.0219 -0.5996 2.8249
Tc C
3 1
Cartesian
-0.4936 -2.8799 -0.6074
-1.7074 -1.5007 1.1709
1.2358 -1.9789 1.0466
0.0000 0.0000 0.0000
```

---

Q | Material: Tc3C
Method: DFT, PBE
State: optimized geometry

Output
V	48.8	Å³/f.u.

```
Tc3C
1.0
4.8293 0.0000 0.0000
0.0000 5.3113 0.0000
0.0000 0.0000 7.6037
Tc C
12 4
Cartesian
3.2371 2.4587 1.9009
0.8049 1.6583 0.5492
4.0244 3.6530 7.0545
0.8224 0.1969 5.7028
3.2195 0.9973 7.0545
3.2195 0.9973 4.3511
0.8049 1.6583 3.2526
1.6098 4.3140 0.5492
4.0068 5.1143 1.9009
4.0244 3.6530 4.3511
1.6098 4.3140 3.2526
1.5922 2.8526 5.7028
4.4625 2.0506 5.7028
2.0478 0.6051 1.9009
0.3668 3.2607 1.9009
2.7814 4.7062 5.7028
```

---

Most favorable structure: Q. The second most favorable one is 1060 meV per atom above it.

---

P | Material: Tc3C
Method: DFT, PBE
State: optimized geometry

Output
V	49.3	Å³/f.u.

```
Tc3C
1.0
-1.7882 -2.1423 -0.4789
2.2497 -0.3815 1.6762
-3.8625 1.9652 5.6315
C Tc
1 3
Cartesian
0.0000 0.0000 0.0000
-1.1940 -1.1729 1.3356
-1.9313 0.9826 2.8157
-3.5529 0.0273 4.7748
```

---

Q | Material: Tc3C
Method: DFT, PBE
State: optimized geometry

Output
V	51.3	Å³/f.u.

```
Tc3C
1.0
2.9323 0.0000 0.0000
0.0000 2.8759 -0.0028
0.0000 1.4666 6.0798
Tc C
3 1
Cartesian
1.4661 3.6759 4.8437
0.0000 2.1712 3.0385
1.4661 0.6665 1.2333
0.0000 0.0000 0.0000
```

---

R | Material: Tc3C
Method: DFT, PBE
State: optimized geometry

Output
V	49.9	Å³/f.u.

```
Tc3C
1.0
-4.0584 3.2523 5.2120
-1.9740 2.1294 6.7662
-1.6015 4.6324 5.4945
Tc C
3 1
Cartesian
-3.8169 5.0070 8.7364
-2.0683 2.7131 4.7339
-5.5656 7.3009 12.7388
0.0000 0.0000 0.0000
```

---

S | Material: Tc3C
Method: DFT, PBE
State: optimized geometry

Output
V	51.4	Å³/f.u.

```
Tc3C
1.0
-1.7261 0.0445 2.1958
-1.5467 -2.0635 -1.1740
3.6778 -4.4528 2.9813
Tc C
3 1
Cartesian
1.8603 -5.2430 3.3455
1.2528 -2.5394 2.8131
0.3649 -2.4099 0.3357
3.0567 -3.7007 2.4778
```

---

Most favorable structure: P. The second most favorable one is 220 meV per atom above it.

---

P | Material: Tc3C
Method: DFT, PBE
State: optimized geometry

Output
V	51.3	Å³/f.u.

```
Tc3C
1.0
2.7914 0.0000 0.0000
0.0000 3.8864 0.0000
0.0000 0.0000 4.7272
Tc C
3 1
Cartesian
0.0000 0.0000 2.3636
1.3957 1.9432 3.6133
1.3957 1.9432 1.1139
0.0000 0.0000 0.0000
```

---

Q | Material: Tc3C
Method: DFT, PBE
State: optimized geometry

Output
V	52.3	Å³/f.u.

```
Tc3C
1.0
4.6066 0.0104 0.0000
-2.2519 4.0187 0.0000
0.0000 0.0000 2.8213
Tc C
3 1
Cartesian
1.1773 2.0145 0.0000
2.3033 0.0052 1.4107
-1.1259 2.0093 1.4107
0.0000 0.0000 0.0000
```

---

Most favorable structure: P. The second most favorable one is 187 meV per atom above it.

---

P | Material: TcC3
Method: DFT, PBE
State: optimized geometry

Output
V	34.8	Å³/f.u.

```
TcC3
1.0
-3.9476 -0.2644 0.5468
-1.6212 -0.9632 -3.5209
2.6914 -1.5077 2.5369
C Tc
3 1
Cartesian
0.9716 -1.7921 1.3806
0.2744 -1.6031 0.1478
-0.9985 -2.2264 0.3284
-0.9454 -1.3336 2.3206
```

---

Q | Material: TcC3
Method: DFT, PBE
State: optimized geometry

Output
V	37.4	Å³/f.u.

```
TcC3
1.0
-0.0883 -2.4940 3.3002
3.6640 -1.6146 -1.1221
2.0534 3.0303 2.3449
C Tc
6 2
Cartesian
1.1275 -2.7942 2.6234
4.0582 -0.0563 0.5485
1.6429 1.0080 1.2882
1.7804 -2.2644 1.3671
0.9900 0.4782 2.5445
2.3763 -3.3444 2.2410
2.7937 -1.1290 3.0420
-0.0233 -0.6572 0.8696
```

---

Most favorable structure: P. The second most favorable one is 475 meV per atom above it.

---

P | Material: TcC3
Method: DFT, PBE
State: optimized geometry

Output
V	44.9	Å³/f.u.

```
TcC3
1.0
2.6342 0.0000 0.0000
0.0000 5.4127 0.0000
0.0000 0.0000 3.1475
C Tc
3 1
Cartesian
0.0000 0.0000 0.1327
1.3171 0.0000 0.1340
1.3171 2.7063 1.7028
0.0000 2.7063 0.1289
```

---

Q | Material: TcC3
Method: DFT, PBE
State: optimized geometry

Output
V	31.5	Å³/f.u.

```
TcC3
1.0
5.3950 -0.0028 -0.0017
4.7457 2.5659 -0.0017
4.7457 1.1995 2.2683
C Tc
3 1
Cartesian
11.4536 2.8950 1.7426
7.4432 1.8813 1.1325
3.4328 0.8677 0.5223
0.0000 0.0000 0.0000
```

---

Most favorable structure: P. The second most favorable one is 628 meV per atom above it.